SCAN LiSnP4O12, single point on PBEsol structure; formation energy from raw total energies = -2.210 eV per atom; spin magnetization = 0.0 μB per formula unit; V = 14.09 Å³ per atom; distance to the lowest polymorph of the same formula = 0.061 eV per atom
1.0
5.009 -5.822 0.000
5.009 5.822 0.000
0.000 0.000 17.398
Li Sn P O
4 4 16 48
Cartesian
1.482 0.521 6.185 Li
1.482 -0.521 11.213 Li
8.537 0.521 2.514 Li
8.537 -0.521 14.884 Li
2.216 2.400 11.031 Sn
2.216 -2.400 6.367 Sn
7.802 2.400 15.066 Sn
7.802 -2.400 2.332 Sn
3.939 4.150 5.956 P
4.567 2.763 8.479 P
6.079 4.150 2.743 P
3.111 0.234 3.333 P
5.452 2.763 0.220 P
3.111 -0.234 14.066 P
3.496 0.000 8.699 P
5.009 1.762 13.049 P
5.009 -1.762 4.350 P
6.523 0.000 0.000 P
6.908 0.234 5.366 P
4.567 -2.763 8.919 P
6.908 -0.234 12.032 P
3.939 -4.150 11.442 P
5.452 -2.763 17.178 P
6.079 -4.150 14.655 P
3.525 3.448 4.721 O
4.708 4.786 2.587 O
3.711 3.122 7.174 O
3.825 3.228 9.701 O
5.311 4.786 6.112 O
4.027 3.213 0.374 O
2.096 0.498 15.069 O
3.993 2.603 12.329 O
2.559 0.340 4.702 O
3.580 1.462 2.592 O
2.702 0.298 9.946 O
2.096 -0.498 2.329 O
2.559 -0.340 12.696 O
2.702 -0.298 7.453 O
5.992 3.213 8.325 O
6.194 3.228 16.396 O
6.494 3.448 3.978 O
4.545 1.160 8.414 O
6.308 3.122 1.525 O
4.373 0.771 14.127 O
6.025 2.603 13.768 O
5.474 1.160 0.285 O
3.580 -1.462 14.806 O
5.645 0.771 11.970 O
4.373 -0.771 3.271 O
6.439 1.462 6.107 O
4.545 -1.160 8.984 O
3.993 -2.603 5.069 O
5.645 -0.771 5.428 O
3.711 -3.122 10.224 O
5.474 -1.160 17.113 O
3.525 -3.448 12.677 O
3.825 -3.228 7.697 O
4.027 -3.213 17.024 O
7.317 0.298 16.152 O
7.460 0.340 3.997 O
7.923 0.498 11.028 O
7.317 -0.298 1.247 O
6.439 -1.462 11.291 O
7.460 -0.340 13.401 O
6.025 -2.603 3.630 O
7.923 -0.498 6.370 O
5.992 -3.213 9.073 O
4.708 -4.786 14.811 O
6.194 -3.228 1.002 O
6.308 -3.122 15.873 O
5.311 -4.786 11.286 O
6.494 -3.448 13.420 O